# Na4CdPt3O8

An optimized crystal structure of Na4CdPt3O8 (GGA-PBE, Alexandria via LeMat-Bulk).

Properties
VASP energy (eV/cell): -80.20
Raw formation energy (eV/atom): -1.014
Calculated volume (Å³ per cell): 205.3
Magnetic moment (μB per formula unit): 0.0

Cell: 6.338 6.179 6.996 Å, 118.91 116.93 90.00°
Element x y z (fractional)
Na 0.000 0.000 0.500
Na 0.500 0.000 0.000
Na 0.500 0.000 0.500
Na 0.000 0.000 0.000
O 0.781 0.342 0.109
O 0.747 0.280 0.495
O 0.328 0.342 0.109
O 0.253 0.720 0.505
O 0.787 0.749 0.574
O 0.672 0.658 0.891
O 0.213 0.251 0.426
O 0.219 0.658 0.891
Pt 0.500 0.500 0.500
Pt 0.000 0.500 0.500
Pt 0.500 0.500 0.000
Cd 0.000 0.500 0.000